Entry 1:
5
Lattice="4.418 0.000 0.000 0.000 4.418 0.000 0.000 0.000 4.418" Properties=species:S:1:pos:R:3 comment="Ti3CrN | Alexandria via LeMat-Bulk | PBE-GGA | optimized geometry" formation_energy_uncorrected_ev_per_atom=1.3958 sg="No. 221" e_above_lowest_polymorph_ev_per_atom=2.014 n_ef_per_ev_cell=5.90 pbc="T T T"
Ti 0.000 0.000 2.209
Ti 2.209 0.000 0.000
Ti 0.000 2.209 0.000
N 2.209 2.209 2.209
Cr 0.000 0.000 0.000



Entry 2:
5
Lattice="-2.144 -3.469 0.180 0.381 -0.025 4.064 -3.453 2.151 0.337" Properties=species:S:1:pos:R:3 comment="Ti3CrN | Alexandria via LeMat-Bulk | PBE-GGA | optimized geometry" formation_energy_uncorrected_ev_per_atom=-0.6180 sg="No. 221" e_above_lowest_polymorph_ev_per_atom=0.000 n_ef_per_ev_cell=3.72 pbc="T T T"
Cr -2.608 -0.671 2.291
Ti -1.072 -1.735 0.090
Ti -1.726 1.076 0.169
Ti 0.191 -0.012 2.032
N 0.000 0.000 0.000



Entry 3:
6
Lattice="3.182 0.082 0.000 0.048 3.182 0.000 0.000 0.000 6.206" Properties=species:S:1:pos:R:3 comment="TiCrN | Alexandria via LeMat-Bulk | PBE-GGA | optimized geometry" formation_energy_uncorrected_ev_per_atom=-0.4673 sg="No. 39" n_ef_per_ev_cell=2.93 pbc="T T T"
N 0.279 1.849 1.225
N 1.846 0.299 4.981
Ti 1.694 0.145 0.901
Ti 0.127 1.695 5.306
Cr 2.903 2.933 3.103
Cr 1.287 1.301 3.103